1.
Computed, not measured: RbTePtW after structural relaxation at the GGA-PBE level of DFT.

```
12
Lattice="-3.2235 1.5688 -1.8681 0.9984 -3.8711 -0.5998 -14.0710 -6.5399 18.7881" Properties=species:S:1:pos:R:3 pbc="T T T"
Rb -9.6644 -4.4918 12.9042
Te -6.6296 -3.0813 8.8521
Pt -8.5458 -5.8396 9.8421
W -9.4086 -3.7732 8.6922
Te -2.3482 -2.9591 1.5669
Te -13.1362 -5.5057 13.6695
Pt -5.2627 -1.8463 3.1566
Rb -2.0999 -0.3763 -1.0665
W -12.6916 -7.7665 15.3777
Rb -5.3830 -4.3696 5.6190
Pt -12.8272 -5.9618 17.1273
W -2.9020 -1.3488 3.8749
```

Its space-group type is No. 160. Its formation energy from raw total energies is 0.0932 eV per atom. The mass density comes out at 8.55 Mg/m³. The offset from the most stable computed form is 0.004 eV/atom. Its density of states at the Fermi level is 10.43 states/eV/cell. The value obtained for the raw total energy is -68.19 eV for the cell shown. The magnetic moment comes out at 3.11 μB per cell.


2.
Computed, not measured: AlP2Cl after structural relaxation at the GGA-PBE level of DFT.

```
4
Lattice="6.6648 -0.0105 -0.0064 5.5945 3.6223 -0.0064 5.5945 1.6483 3.2256" Properties=species:S:1:pos:R:3 pbc="T T T"
Cl 13.3903 3.9451 2.4096
Al 4.4634 1.3150 0.8032
P 9.3507 2.7549 1.6827
P 17.4298 5.1352 3.1365
```

Its space-group type is No. 166. Its formation energy from raw total energies is 0.1775 eV per atom. The mass density comes out at 2.64 Mg/m³. The offset from the most stable computed form is 0.478 eV/atom. Its density of states at the Fermi level is 1.13 states/eV/cell. The value obtained for the raw total energy is -15.70 eV for the cell shown. The magnetic moment comes out at 0.00 μB per cell.


3.
Computed, not measured: ReAgTe2 after structural relaxation at the GGA-PBE level of DFT.

```
4
Lattice="-3.5568 -0.0323 -4.4375 -1.9945 -5.0158 -1.7907 0.4991 2.7785 4.9370" Properties=species:S:1:pos:R:3 pbc="T T T"
Ag -2.7757 -2.5240 -3.1141
Te -2.1355 -2.3807 0.0161
Re -2.9167 0.1111 -1.3073
Te 0.0000 0.0000 0.0000
```

Its space-group type is No. 119. Its formation energy from raw total energies is 0.9489 eV per atom. The mass density comes out at 10.91 Mg/m³. The offset from the most stable computed form is 0.634 eV/atom. Its density of states at the Fermi level is 3.72 states/eV/cell. The value obtained for the raw total energy is -17.79 eV for the cell shown. The magnetic moment comes out at 0.37 μB per cell.


4.
Computed, not measured: ZrAl2Pt after structural relaxation at the GGA-PBE level of DFT.

```
16
Lattice="-3.7620 -3.5151 -1.8196 -2.0727 -1.0135 6.2431 -5.0748 5.8146 -0.7408" Properties=species:S:1:pos:R:3 pbc="T T T"
Pt -4.9579 -0.1011 0.1115
Pt -8.3938 1.9667 -0.6935
Zr -2.1024 -1.4346 0.8430
Al -5.2499 -2.4864 1.0424
Zr -7.2695 -1.1211 2.7264
Zr -3.6399 2.4071 0.9563
Zr -8.8070 2.7205 2.8396
Al -4.4232 -2.0822 -1.4477
Pt -2.5156 -0.6808 4.3761
Al -6.7203 1.4178 1.1881
Pt -5.9515 1.3870 3.5711
Al -6.4861 3.3681 5.1303
Al -5.6595 3.7724 2.6403
Al -5.8936 1.8221 -1.3020
Al -5.0158 -0.5362 4.9846
Al -4.1891 -0.1319 2.4946
```

Its space-group type is No. 62. The mass density comes out at 8.02 Mg/m³. Its density of states at the Fermi level is 6.58 states/eV/cell. The value obtained for the raw total energy is -101.77 eV for the cell shown. The magnetic moment comes out at 0.00 μB per cell.


5.
Computed, not measured: Ta2TlIn after structural relaxation at the GGA-PBE level of DFT.

```
4
Lattice="4.8872 0.0000 0.0000 2.4436 4.2324 0.0000 2.4436 1.4108 3.9904" Properties=species:S:1:pos:R:3 pbc="T T T"
Ta 2.4436 1.4108 0.9976
In 4.8872 2.8216 1.9952
Ta 0.0000 0.0000 0.0000
Tl 7.3308 4.2324 2.9928
```

Its space-group type is No. 216. The mass density comes out at 13.70 Mg/m³. The offset from the most stable computed form is 0.433 eV/atom. Its density of states at the Fermi level is 2.17 states/eV/cell. The value obtained for the raw total energy is -25.78 eV for the cell shown. The magnetic moment comes out at 0.00 μB per cell.


6.
Computed, not measured: Ca8AlCu2 after structural relaxation at the GGA-PBE level of DFT.

```
11
Lattice="-0.1036 -4.7521 3.1426 7.1910 -1.2762 -3.8426 0.7557 5.4644 6.1379" Properties=species:S:1:pos:R:3 pbc="T T T"
Cu 2.7709 0.9674 4.5591
Al 0.0237 0.0080 0.0099
Ca 7.2124 0.5457 1.8721
Ca 4.9302 -1.2137 3.9986
Ca 0.6786 -1.0810 3.5771
Ca 2.9616 0.6769 1.4524
Cu 5.1310 -1.5047 0.8988
Ca 5.5692 -4.4034 1.6932
Ca 5.5522 2.2846 4.4468
Ca 2.2131 -0.8880 6.8983
Ca 2.3385 -2.8197 1.0027
```

Its space-group type is No. 8. The mass density comes out at 2.26 Mg/m³. Its density of states at the Fermi level is 7.70 states/eV/cell. The value obtained for the raw total energy is -28.38 eV for the cell shown. The magnetic moment comes out at 0.00 μB per cell.


7.
Computed, not measured: Ce5Th4Tl after structural relaxation at the GGA-PBE level of DFT.

```
10
Lattice="4.1654 0.0000 0.0000 0.0000 4.1654 0.0000 0.0000 0.0000 17.0409" Properties=species:S:1:pos:R:3 pbc="T T T"
Ce 2.0827 2.0827 1.5233
Tl 0.0000 0.0000 0.0000
Ce 2.0827 2.0827 11.8959
Ce 2.0827 2.0827 15.5176
Th 0.0000 0.0000 13.5901
Th 0.0000 0.0000 3.4508
Ce 2.0827 2.0827 8.5204
Th 0.0000 0.0000 10.2292
Ce 2.0827 2.0827 5.1450
Th 0.0000 0.0000 6.8117
```

Its space-group type is No. 123. The mass density comes out at 10.29 Mg/m³. Its density of states at the Fermi level is 27.62 states/eV/cell. The value obtained for the raw total energy is -61.10 eV for the cell shown. The magnetic moment comes out at 1.53 μB per cell.


8.
Computed, not measured: Ho2TlZn3 after structural relaxation at the GGA-PBE level of DFT.

```
12
Lattice="-1.6280 3.7026 4.1617 -4.9027 -2.7064 -1.5226 4.6357 -6.0717 4.1753" Properties=species:S:1:pos:R:3 pbc="T T T"
Tl -2.8116 -1.3476 3.1392
Zn -2.3357 -3.2836 5.0477
Zn -3.8929 -2.0500 0.7286
Zn -2.1997 1.2638 3.6677
Zn 0.4406 -1.7920 1.7666
Ho -4.9383 0.7533 1.9956
Tl 0.9165 -3.7279 3.6752
Zn 1.9978 -3.0256 6.0858
Ho -1.7662 -4.1400 1.9861
Ho -0.1289 -0.9355 4.8283
Zn 0.3046 -6.3394 3.1467
Ho -1.5925 0.2429 0.6435
```

Its space-group type is No. 69. The mass density comes out at 9.36 Mg/m³. The offset from the most stable computed form is 0.000 eV/atom. Its density of states at the Fermi level is 7.98 states/eV/cell. The value obtained for the raw total energy is -34.65 eV for the cell shown. The magnetic moment comes out at 0.00 μB per cell.


9.
Computed, not measured: CsReB3 after structural relaxation at the GGA-PBE level of DFT.

```
5
Lattice="-3.1874 1.3612 -2.5985 0.0036 -3.8354 -2.0135 -2.9334 -1.4837 2.8210" Properties=species:S:1:pos:R:3 pbc="T T T"
Cs 0.0000 0.0000 0.0000
B -1.4667 -0.7419 1.4105
B -1.5937 0.6806 -1.2992
Re -3.0586 -1.9789 -0.8955
B 0.0018 -1.9177 -1.0068
```

Its space-group type is No. 221. The mass density comes out at 7.18 Mg/m³. The offset from the most stable computed form is 3.171 eV/atom. Its density of states at the Fermi level is 7.47 states/eV/cell. The value obtained for the raw total energy is -12.67 eV for the cell shown. The magnetic moment comes out at 0.00 μB per cell.


10.
Computed, not measured: TaInSe after structural relaxation at the GGA-PBE level of DFT.

```
3
Lattice="8.6165 -0.0174 0.0119 7.8602 2.9643 0.0290 0.7563 -1.0564 2.7883" Properties=species:S:1:pos:R:3 pbc="T T T"
Ta 5.7989 0.2277 1.9070
In 16.0590 2.8406 0.1139
Se 11.8517 1.7691 0.8492
```

Its space-group type is No. 42. Its formation energy from raw total energies is 0.0617 eV per atom. The mass density comes out at 8.67 Mg/m³. The offset from the most stable computed form is 0.317 eV/atom. Its density of states at the Fermi level is 1.35 states/eV/cell. The value obtained for the raw total energy is -17.89 eV for the cell shown. The magnetic moment comes out at 0.00 μB per cell.


11.
Computed, not measured: CePr4Tm10 after structural relaxation at the GGA-PBE level of DFT.

```
15
Lattice="7.2519 0.0000 3.2746 3.6260 7.9034 1.6373 0.3734 0.0000 8.8404" Properties=species:S:1:pos:R:3 pbc="T T T"
Tm 6.1548 1.6234 9.6677
Ce 0.0000 0.0000 0.0000
Tm 7.4386 3.9517 7.6947
Tm 3.1817 1.6234 8.3252
Pr 5.7834 0.0016 6.5268
Tm 8.0697 6.2800 5.4270
Tm 6.8069 6.2781 9.9641
Tm 9.7800 6.2781 11.3066
Tm 3.8127 3.9517 6.0575
Tm 1.4713 1.6252 2.4456
Pr 7.6260 3.5684 12.1135
Tm 5.0965 6.2800 4.0845
Tm 4.4445 1.6252 3.7881
Pr 5.4679 7.9018 7.2254
Pr 3.6253 4.3350 1.6387
```

Its space-group type is No. 139. The mass density comes out at 8.00 Mg/m³. Its density of states at the Fermi level is 19.08 states/eV/cell. The value obtained for the raw total energy is -65.77 eV for the cell shown. The magnetic moment comes out at 0.01 μB per cell.


12.
Computed, not measured: CsNbO3 after structural relaxation at the GGA-PBE level of DFT.

```
5
Lattice="4.1708 0.0000 0.0000 0.0000 4.1708 0.0000 0.0000 0.0000 4.1708" Properties=species:S:1:pos:R:3 pbc="T T T"
O 0.0000 2.0854 2.0854
Cs 0.0000 0.0000 0.0000
O 2.0854 2.0854 0.0000
Nb 2.0854 2.0854 2.0854
O 2.0854 0.0000 2.0854
```

Its space-group type is No. 221. Its formation energy from raw total energies is -2.1785 eV per atom. The mass density comes out at 6.27 Mg/m³. Its density of states at the Fermi level is 0.00 states/eV/cell. The value obtained for the raw total energy is -36.69 eV for the cell shown. The magnetic moment comes out at 0.00 μB per cell.